An optimized crystal structure of U2PaPdS4, computed with GGA-PBE.

Calculated values
Density of states at the Fermi level = 24.81 states/eV/cell
Formation energy (no corrections) = -102.7 kJ/mol of atoms

Cell: 6.714 6.714 6.571 Å, 90.00 90.00 90.00°
Space group I4/mmm (No. 139)
One atom of each set of equivalent atoms:
U: 0.000 0.500 0.000 (multiplicity 4)
Pa: 0.000 0.000 0.000 (multiplicity 2)
Pd: 0.000 0.000 0.500 (multiplicity 2)
S: 0.250 0.250 0.250 (multiplicity 8)

An optimized crystal structure of Ca2ZnMo, computed with GGA-PBE.

Calculated values
Density of states at the Fermi level = 3.69 states/eV/cell
E_form = 0.37 eV/atom

Cell: 3.467 3.467 8.432 Å, 90.00 90.00 90.00°
Space group P4mm (No. 99)
One atom of each set of equivalent atoms:
Ca: 0.000 0.000 0.000 (multiplicity 1)
Ca: 0.500 0.500 0.386 (multiplicity 1)
Zn: 0.500 0.500 0.759 (multiplicity 1)
Mo: 0.000 0.000 0.634 (multiplicity 1)

An optimized crystal structure of CsUSb2Pd2, computed with GGA-PBE.

Calculated values
Density of states at the Fermi level = 6.99 states/eV/cell
Formation energy (no corrections) = -48.7 kJ/mol of atoms

Cell: 4.7572 4.7572 9.1018 Å, 90.00 90.00 120.00°
Space group P-3m1 (No. 164)
One atom of each set of equivalent atoms:
Cs: 0.0000 0.0000 0.0000 (multiplicity 1)
U: 0.0000 0.0000 0.5000 (multiplicity 1)
Sb: 0.3333 0.6667 0.6849 (multiplicity 2)
Pd: 0.3333 0.6667 0.3588 (multiplicity 2)

An optimized crystal structure of Fe2AuSe, computed with GGA-PBE.

Calculated values
Density of states at the Fermi level = 6.57 states/eV/cell
Formation energy (no corrections) = 24.5 kJ/mol of atoms

Cell: 2.847 4.355 10.968 Å, 90.00 90.00 90.00°
Space group Imm2 (No. 44)
One atom of each set of equivalent atoms:
Fe: 0.000 0.000 0.000 (multiplicity 2)
Fe: 0.000 0.500 0.307 (multiplicity 2)
Au: 0.000 0.000 0.452 (multiplicity 2)
Se: 0.000 0.500 0.686 (multiplicity 2)

An optimized crystal structure of InW, computed with GGA-PBE.

Calculated values
Excess energy over the best structure of this formula in the dataset = 366.1 meV per atom
Density of states at the Fermi level = 1.72 states/eV/cell
E_form = 0.77 eV/atom

Cell: 2.848 2.848 4.568 Å, 90.00 90.00 90.00°
Space group P4/mmm (No. 123)
One atom of each set of equivalent atoms:
In: 0.000 0.000 0.000 (multiplicity 1)
W: 0.500 0.500 0.500 (multiplicity 1)

An optimized crystal structure of SrIN2F, computed with GGA-PBE.

Calculated values
Excess energy over the best structure of this formula in the dataset = 0.0 meV per atom
Density of states at the Fermi level = 3.32 states/eV/cell
Formation energy (no corrections) = 9.3 kJ/mol of atoms

Cell: 4.164 4.164 4.786 Å, 90.00 90.00 90.00°
Space group P4/mmm (No. 123)
One atom of each set of equivalent atoms:
Sr: 0.000 0.000 0.000 (multiplicity 1)
I: 0.500 0.500 0.500 (multiplicity 1)
N: 0.000 0.500 0.500 (multiplicity 2)
F: 0.500 0.500 0.000 (multiplicity 1)

Copy entry 3 word for word.
An optimized crystal structure of CsUSb2Pd2, computed with GGA-PBE.

Calculated values
Density of states at the Fermi level = 6.99 states/eV/cell
Formation energy (no corrections) = -48.7 kJ/mol of atoms

Cell: 4.7572 4.7572 9.1018 Å, 90.00 90.00 120.00°
Space group P-3m1 (No. 164)
One atom of each set of equivalent atoms:
Cs: 0.0000 0.0000 0.0000 (multiplicity 1)
U: 0.0000 0.0000 0.5000 (multiplicity 1)
Sb: 0.3333 0.6667 0.6849 (multiplicity 2)
Pd: 0.3333 0.6667 0.3588 (multiplicity 2)

- What is the formula in the fifth record?
  InW